(1)
## YCr5 (PBE)

Data for crystalline YCr5 at its relaxed geometry.

a b c (Å): 4.9751 4.9751 4.9751
angles (deg): 60.00 60.00 60.00
Fractional positions:
1 Cr 0.3755 0.3755 0.8735
2 Cr 0.3755 0.3755 0.3755
3 Cr 0.3755 0.8735 0.3755
4 Cr 0.7500 0.7500 0.7500
5 Cr 0.8735 0.3755 0.3755
6 Y 0.0000 0.0000 0.0000

Values from the calculation:
Crystal system ... cubic

(2)
## YCr3 (PBE)

Data for crystalline YCr3 at its relaxed geometry.

a b c (Å): 5.9080 5.9080 5.9080
angles (deg): 90.00 90.00 90.00
Fractional positions:
1 Cr 0.5000 0.0000 0.0000
2 Y 0.0000 0.0000 0.0000
3 Cr 0.0000 0.0000 0.5000
4 Cr 0.0000 0.5000 0.0000

Values from the calculation:
Crystal system ... cubic

(3)
## YCr2 (PBE)

Data for crystalline YCr2 at its relaxed geometry.

a b c (Å): 4.6822 4.6822 4.6822
angles (deg): 141.29 116.97 76.47
Fractional positions:
1 Y 0.0000 0.0000 0.0000
2 Cr 0.6263 0.6263 0.0000
3 Cr 0.3737 0.3737 0.0000

Values from the calculation:
Crystal system ... orthorhombic

(4)
## Y3Cr (PBE)

Data for crystalline Y3Cr at its relaxed geometry.

a b c (Å): 5.2995 5.9452 7.0217
angles (deg): 90.00 90.00 90.00
Fractional positions:
1 Y 0.0000 0.8251 0.7462
2 Y 0.5000 0.1749 0.7538
3 Y 0.5000 0.6384 0.0000
4 Y 0.0000 0.3616 0.5000
5 Y 0.5000 0.1749 0.2462
6 Y 0.0000 0.8251 0.2538
7 Cr 0.5000 0.6892 0.5000
8 Cr 0.0000 0.3108 0.0000

Values from the calculation:
Crystal system ... orthorhombic

(5)
## YCr (PBE)

Data for crystalline YCr at its relaxed geometry.

a b c (Å): 4.7480 5.9477 3.3353
angles (deg): 90.00 90.00 66.48
Fractional positions:
1 Y 0.1389 0.7222 0.7500
2 Cr 0.5657 0.8687 0.2500
3 Cr 0.4343 0.1313 0.7500
4 Y 0.8611 0.2778 0.2500

Values from the calculation:
Crystal system ... orthorhombic

(6)
## YCr (PBE)

Data for crystalline YCr at its relaxed geometry.

a b c (Å): 9.9064 9.9064 4.0169
angles (deg): 90.00 90.00 90.00
Fractional positions:
1 Cr 0.0640 0.4131 0.5000
2 Y 0.7229 0.3362 0.5000
3 Cr 0.4932 0.1145 0.0000
4 Y 0.0314 0.2275 0.0000
5 Y 0.3362 0.2771 0.5000
6 Y 0.7725 0.0314 0.0000
7 Cr 0.5068 0.8855 0.0000
8 Cr 0.5869 0.0640 0.5000
9 Cr 0.1145 0.5068 0.0000
10 Y 0.6638 0.7229 0.5000
11 Cr 0.9360 0.5869 0.5000
12 Y 0.2275 0.9686 0.0000
13 Y 0.9686 0.7725 0.0000
14 Y 0.2771 0.6638 0.5000
15 Cr 0.8855 0.4932 0.0000
16 Cr 0.4131 0.9360 0.5000

Values from the calculation:
Crystal system ... tetragonal

(7)
## YCr (PBE)

Data for crystalline YCr at its relaxed geometry.

a b c (Å): 5.2613 5.2613 7.2614
angles (deg): 90.00 90.00 120.00
Fractional positions:
1 Y 0.6667 0.3333 0.7500
2 Y 0.0000 0.0000 0.7500
3 Y 0.3333 0.6667 0.2500
4 Cr 0.6667 0.3333 0.3787
5 Y 0.0000 0.0000 0.2500
6 Cr 0.3333 0.6667 0.8787
7 Cr 0.6667 0.3333 0.1213
8 Cr 0.3333 0.6667 0.6213

Values from the calculation:
Crystal system ... hexagonal

(8)
## Y3Cr4 (PBE)

Data for crystalline Y3Cr4 at its relaxed geometry.

a b c (Å): 14.0206 14.0206 14.0206
angles (deg): 166.91 166.91 18.55
Fractional positions:
1 Y 0.3044 0.3044 0.0000
2 Cr 0.8845 0.8845 0.0000
3 Cr 0.5811 0.5811 0.0000
4 Cr 0.1155 0.1155 0.0000
5 Cr 0.4189 0.4189 0.0000
6 Y 0.0000 0.0000 0.0000
7 Y 0.6956 0.6956 0.0000

Values from the calculation:
Crystal system ... tetragonal
Polymorph energy (0 for the lowest one) ... 0 meV/atom

(9)
## Y3Cr (PBE)

Data for crystalline Y3Cr at its relaxed geometry.

a b c (Å): 5.3676 5.3676 5.3676
angles (deg): 60.00 60.00 60.00
Fractional positions:
1 Y 0.7500 0.7500 0.7500
2 Y 0.2500 0.2500 0.2500
3 Cr 0.0000 0.0000 0.0000
4 Y 0.5000 0.5000 0.5000

Values from the calculation:
Crystal system ... cubic

(10)
## YCr (PBE)

Data for crystalline YCr at its relaxed geometry.

a b c (Å): 4.2097 4.2097 4.2097
angles (deg): 60.00 60.00 60.00
Fractional positions:
1 Y 0.5000 0.5000 0.5000
2 Cr 0.0000 0.0000 0.0000

Values from the calculation:
Crystal system ... cubic

(11)
## Y4Cr (PBE)

Data for crystalline Y4Cr at its relaxed geometry.

a b c (Å): 5.3768 5.3768 5.3768
angles (deg): 90.00 90.00 90.00
Fractional positions:
1 Y 0.5000 0.5000 0.0000
2 Y 0.0000 0.0000 0.0000
3 Y 0.5000 0.0000 0.5000
4 Cr 0.5000 0.5000 0.5000
5 Y 0.0000 0.5000 0.5000

Values from the calculation:
Crystal system ... cubic
Polymorph energy (0 for the lowest one) ... 0 meV/atom

(12)
## YCr (PBE)

Data for crystalline YCr at its relaxed geometry.

a b c (Å): 9.0676 13.3405 5.6093
angles (deg): 90.00 90.00 90.00
Fractional positions:
1 Y 0.5826 0.2500 0.7500
2 Y 0.9174 0.7500 0.2500
3 Cr 0.7500 0.1795 0.2500
4 Cr 0.5000 0.0705 0.5000
5 Cr 0.7500 0.6795 0.7500
6 Cr 0.0000 0.5705 0.5000
7 Cr 0.0000 0.9295 0.0000
8 Cr 0.0000 0.0705 0.0000
9 Y 0.1674 0.0000 0.5000
10 Cr 0.2500 0.8205 0.2500
11 Y 0.5826 0.7500 0.2500
12 Y 0.8326 0.5000 0.0000
13 Y 0.3326 0.0000 0.0000
14 Y 0.9174 0.2500 0.7500
15 Y 0.4174 0.7500 0.7500
16 Cr 0.7500 0.3205 0.2500
17 Cr 0.7500 0.8205 0.7500
18 Cr 0.5000 0.5705 0.0000
19 Y 0.6674 0.5000 0.5000
20 Y 0.0826 0.7500 0.7500
21 Y 0.4174 0.2500 0.2500
22 Cr 0.2500 0.1795 0.7500
23 Y 0.3326 0.5000 0.5000
24 Cr 0.5000 0.9295 0.5000
25 Cr 0.2500 0.6795 0.2500
26 Y 0.0826 0.2500 0.2500
27 Y 0.1674 0.5000 0.0000
28 Y 0.8326 0.0000 0.5000
29 Cr 0.0000 0.4295 0.5000
30 Cr 0.5000 0.4295 0.0000
31 Cr 0.2500 0.3205 0.7500
32 Y 0.6674 0.0000 0.0000

Values from the calculation:
Crystal system ... orthorhombic

(13)
## YCr2 (PBE)

Data for crystalline YCr2 at its relaxed geometry.

a b c (Å): 7.1014 7.1014 7.1014
angles (deg): 145.29 145.29 49.90
Fractional positions:
1 Cr 0.5741 0.5741 0.0000
2 Cr 0.1759 0.6759 0.5000
3 Y 0.0000 0.0000 0.0000
4 Y 0.7500 0.2500 0.5000
5 Cr 0.4259 0.4259 0.0000
6 Cr 0.3241 0.8241 0.5000

Values from the calculation:
Crystal system ... tetragonal

(14)
## YCr (PBE)

Data for crystalline YCr at its relaxed geometry.

a b c (Å): 11.9928 3.5271 6.4124
angles (deg): 90.00 90.00 90.00
Fractional positions:
1 Cr 0.5886 0.0000 0.1040
2 Cr 0.0000 0.0000 0.4339
3 Y 0.0000 0.0000 0.9355
4 Y 0.7192 0.0000 0.7123
5 Cr 0.9114 0.5000 0.6040
6 Y 0.5000 0.5000 0.4355
7 Cr 0.0886 0.5000 0.6040
8 Cr 0.4114 0.0000 0.1040
9 Y 0.2192 0.5000 0.2122
10 Cr 0.5000 0.5000 0.9339
11 Y 0.2808 0.0000 0.7123
12 Y 0.7808 0.5000 0.2122

Values from the calculation:
Crystal system ... orthorhombic

(15)
## Y3Cr2 (PBE)

Data for crystalline Y3Cr2 at its relaxed geometry.

a b c (Å): 5.0053 5.0053 6.1705
angles (deg): 90.00 90.00 120.00
Fractional positions:
1 Y 0.6667 0.3333 0.6597
2 Cr 0.3333 0.6667 0.8559
3 Y 0.3333 0.6667 0.3403
4 Y 0.0000 0.0000 0.0000
5 Cr 0.6667 0.3333 0.1441

Values from the calculation:
Crystal system ... trigonal
Polymorph energy (0 for the lowest one) ... 0 meV/atom

(16)
## YCr (PBE)

Data for crystalline YCr at its relaxed geometry.

a b c (Å): 3.2981 3.2981 9.2205
angles (deg): 90.00 90.00 120.00
Fractional positions:
1 Cr 0.0000 0.0000 0.0540
2 Y 0.0000 0.0000 0.4441
3 Cr 0.3333 0.6667 0.1960
4 Y 0.3333 0.6667 0.8059

Values from the calculation:
Crystal system ... trigonal

(17)
## YCr (PBE)

Data for crystalline YCr at its relaxed geometry.

a b c (Å): 3.3969 3.3969 9.4905
angles (deg): 90.00 90.00 120.00
Fractional positions:
1 Y 0.0000 0.0000 0.5000
2 Cr 0.6667 0.3333 0.7500
3 Cr 0.3333 0.6667 0.2500
4 Y 0.0000 0.0000 0.0000

Values from the calculation:
Crystal system ... hexagonal

(18)
## YCr3 (PBE)

Data for crystalline YCr3 at its relaxed geometry.

a b c (Å): 4.2677 5.2478 6.1835
angles (deg): 90.00 90.00 90.00
Fractional positions:
1 Cr 0.5000 0.0000 0.8193
2 Cr 0.0000 0.7819 0.8989
3 Cr 0.0000 0.5000 0.1807
4 Cr 0.5000 0.2819 0.1011
5 Cr 0.0000 0.2181 0.8989
6 Cr 0.5000 0.7181 0.1011
7 Y 0.5000 0.5000 0.5964
8 Y 0.0000 0.0000 0.4036

Values from the calculation:
Crystal system ... orthorhombic

(19)
## YCr2 (PBE)

Data for crystalline YCr2 at its relaxed geometry.

a b c (Å): 6.0491 6.0491 6.0491
angles (deg): 134.68 134.68 66.02
Fractional positions:
1 Cr 0.8041 0.3041 0.1081
2 Y 0.7500 0.7500 0.0000
3 Cr 0.6959 0.8041 0.5000
4 Y 0.2500 0.2500 0.0000
5 Cr 0.1959 0.6959 0.8919
6 Cr 0.3041 0.1959 0.5000

Values from the calculation:
Crystal system ... tetragonal

(20)
## Y3Cr (PBE)

Data for crystalline Y3Cr at its relaxed geometry.

a b c (Å): 3.3906 6.3040 6.3040
angles (deg): 116.86 79.67 79.67
Fractional positions:
1 Y 0.5000 0.0000 0.5000
2 Y 0.5000 0.5000 0.0000
3 Cr 0.0000 0.0000 0.0000
4 Y 0.0000 0.5000 0.5000

Values from the calculation:
Crystal system ... trigonal

ΔH_f (0 K) across the listed records, respectively: 0.3826, 2.6369, 0.7328, 0.2869, 0.3836, 0.5019, 0.6348, 0.3387, 0.3460, 0.8675, 0.3803, 0.4658, 0.5973, 0.4266, 0.4408, 0.5965, 0.7022, 0.4389, 0.5814, 0.4278 eV per atom.